Compound: AcThCl2F6
Source: Alexandria
Functional: PBE
Structure: relaxed

Summary:
E_form (uncorrected): -33.26 eV/f.u.
SG: No. 166

Cell lengths 6.679, 6.680, 6.684 Å; angles 59.93, 60.02, 90.00 degrees
Atoms (fractional coordinates):
Ac1 0.000 0.000 0.000
Th1 0.500 0.500 0.000
Cl1 0.250 0.750 0.500
Cl2 0.750 0.250 0.500
F1 0.261 0.739 0.000
F2 0.739 0.739 0.000
F3 0.261 0.261 0.478
F4 0.739 0.261 0.000
F5 0.261 0.261 0.000
F6 0.739 0.739 0.522


Compound: CoTeP2
Source: Alexandria
Functional: PBE
Structure: relaxed

Summary:
E_form (uncorrected): 2.82 eV/f.u.
SG: No. 47

Cell lengths 3.136, 4.324, 4.791 Å; angles 90.00, 90.00, 90.00 degrees
Atoms (fractional coordinates):
Co1 0.000 0.500 0.500
P1 0.000 0.000 0.000
P2 0.500 0.500 0.000
Te1 0.500 0.000 0.500


Compound: TaCuMo3
Source: Alexandria
Functional: PBE
Structure: relaxed

Summary:
distance to the lowest polymorph of the same formula: 0 meV/atom
SG: No. 221
energy relative to the elements: 1.491 eV per atom

Cell lengths 4.493, 4.493, 4.493 Å; angles 90.00, 90.00, 90.00 degrees
Atoms (fractional coordinates):
Mo1 0.000 0.500 0.000
Mo2 0.000 0.000 0.500
Mo3 0.500 0.000 0.000
Cu1 0.000 0.000 0.000
Ta1 0.500 0.500 0.500


Compound: BaCeBi2
Source: Alexandria
Functional: PBE
Structure: relaxed

Summary:
distance to the lowest polymorph of the same formula: 0 meV/atom
SG: No. 166
energy relative to the elements: -0.825 eV per atom

Cell lengths 4.778, 4.778, 8.461 Å; angles 90.00, 106.41, 120.00 degrees
Atoms (fractional coordinates):
Ba1 0.000 0.500 0.500
Ce1 0.000 0.000 0.000
Bi1 0.526 0.263 0.790
Bi2 0.474 0.737 0.210